# 1
{
  "formula": "CeNd5Er12",
  "functional": "PBE",
  "state": "optimized geometry",
  "ef_mev_per_atom": 109,
  "lattice": [[5.7034, -8.6091, 0.0000], [5.7034, 8.6091, 0.0000], [-0.0105, 0.0000, 5.9068]],
  "species": ["Ce", "Nd", "Nd", "Nd", "Nd", "Nd", "Er", "Er", "Er", "Er", "Er", "Er", "Er", "Er", "Er", "Er", "Er", "Er"],
  "frac_coords": [[0.0000, 0.0000, 0.0000], [0.1666, 0.8334, 0.5000], [0.3351, 0.6649, 0.0000], [0.5000, 0.5000, 0.5000], [0.6649, 0.3351, 0.0000], [0.8334, 0.1666, 0.5000], [0.0093, 0.3424, 0.0490], [0.1561, 0.4888, 0.5495], [0.1754, 0.1754, 0.4436], [0.3188, 0.3188, 0.9437], [0.3424, 0.0093, 0.0490], [0.4888, 0.1561, 0.5495], [0.5112, 0.8439, 0.4505], [0.6576, 0.9907, 0.9510], [0.6812, 0.6812, 0.0563], [0.8246, 0.8246, 0.5564], [0.8439, 0.5112, 0.4505], [0.9907, 0.6576, 0.9510]]
}

# 2
{
  "formula": "Ce4NdEr",
  "functional": "PBE",
  "state": "optimized geometry",
  "ef_mev_per_atom": 204,
  "lattice": [[0.0000, 4.4832, 4.4832], [4.4832, 0.0000, 4.4832], [4.4832, 4.4832, 0.0000]],
  "species": ["Ce", "Ce", "Ce", "Ce", "Nd", "Er"],
  "frac_coords": [[0.3798, 0.3798, 0.3798], [0.3798, 0.3798, 0.8606], [0.3798, 0.8606, 0.3798], [0.8606, 0.3798, 0.3798], [0.0000, 0.0000, 0.0000], [0.7500, 0.7500, 0.7500]]
}